[1]
11
Lattice="3.517 0.027 0.138 -0.009 5.415 -0.815 0.947 0.103 19.044" Properties=species:S:1:pos:R:3 comment="Pr4Ho4Er3 | the Alexandria database | PBE | relaxed" dos_ef_per_ev_fu=16.8 magmom_total_mub_per_fu=0.0 relative_energy_ev_per_atom=0.0000 mass_density_kg_m3=7908 pbc="T T T"
Er 0.951 0.103 19.044
Er 2.934 2.065 13.668
Er 1.519 3.481 4.698
Ho 3.001 4.510 11.529
Ho 1.677 2.974 1.332
Ho 2.784 2.572 17.035
Ho 1.452 1.035 6.837
Pr 3.347 0.564 3.697
Pr 1.305 1.571 10.418
Pr 3.147 3.974 7.948
Pr 1.107 4.981 14.669



[2]
4
Lattice="3.355 0.000 0.000 0.000 3.755 -0.014 0.000 1.340 5.270" Properties=species:S:1:pos:R:3 comment="Be2SiTe | the Alexandria database | PBE | relaxed" e_form_raw_ev_per_atom=0.5647 dos_ef_per_ev_fu=1.4 magmom_total_mub_per_fu=0.0 relative_energy_ev_per_atom=0.3148 mass_density_kg_m3=4340 pbc="T T T"
Be 0.000 3.556 0.309
Be 0.000 2.747 2.305
Te 1.678 3.822 3.942
Si 1.678 1.274 1.314



[3]
20
Lattice="-8.353 2.966 0.616 1.628 -4.513 7.479 5.241 7.173 0.195" Properties=species:S:1:pos:R:3 comment="KMn3Cu4Br12 | the Alexandria database | PBE | relaxed" e_form_raw_ev_per_atom=-0.6157 dos_ef_per_ev_fu=6.5 magmom_total_mub_per_fu=14.0 mass_density_kg_m3=3971 pbc="T T T"
Cu -0.742 2.813 4.145
Cu -2.238 -2.026 7.161
Cu 4.887 4.555 3.970
Cu -4.875 5.910 1.303
Br -0.006 -1.547 7.570
Br 4.773 2.489 5.018
Br 3.568 6.177 2.968
Br 0.747 7.629 1.143
Br -4.089 -1.273 5.984
Br -5.908 4.265 2.569
Br 3.372 -0.270 6.973
Br -2.790 6.767 0.761
Br -6.345 1.079 4.318
Br -0.141 4.758 2.932
Br -3.005 2.113 4.215
Br 0.919 1.568 5.287
Mn -4.071 -0.242 3.560
Mn -0.591 5.368 0.375
Mn 3.178 0.500 4.354
K 0.000 0.000 0.000



[4]
5
Lattice="-0.014 -1.247 4.820 -4.215 -2.563 -0.675 2.650 -4.082 -1.049" Properties=species:S:1:pos:R:3 comment="NiBiW3 | the Alexandria database | PBE | relaxed" dft_energy_ev_per_cell=-31.22 dos_ef_per_ev_fu=16.7 magmom_total_mub_per_fu=0.0 mass_density_kg_m3=11023 pbc="T T T"
W 1.325 -2.041 -0.524
W -2.107 -1.281 -0.338
W -0.007 -0.624 2.410
Ni -0.789 -3.946 1.548
Bi 0.000 0.000 0.000



[5]
3
Lattice="-2.986 -0.270 1.600 -1.585 -0.234 -2.997 2.965 -6.341 0.854" Properties=species:S:1:pos:R:3 comment="TbDyOs | the Alexandria database | PBE | relaxed" dos_ef_per_ev_fu=1.4 magmom_total_mub_per_fu=0.0 relative_energy_ev_per_atom=0.0000 mass_density_kg_m3=11096 pbc="T T T"
Dy 0.396 -3.845 0.091
Os -2.059 -2.456 -0.646
Tb 0.056 -0.544 0.013



[6]
4
Lattice="-5.299 -0.214 0.258 -2.476 -3.202 3.437 3.309 4.055 -0.894" Properties=species:S:1:pos:R:3 comment="ReSiIr2 | the Alexandria database | PBE | relaxed" e_form_raw_ev_per_atom=-0.2125 dos_ef_per_ev_fu=2.2 magmom_total_mub_per_fu=0.0 mass_density_kg_m3=17478 pbc="T T T"
Re -3.646 -1.602 1.733
Ir -2.865 1.099 0.570
Ir -0.317 -0.139 0.151
Si -1.524 -0.426 2.194



[7]
14
Lattice="7.978 0.482 4.104 2.711 7.519 4.104 0.645 0.482 8.949" Properties=species:S:1:pos:R:3 comment="Pr3Sm3Er | the Alexandria database | PBE | relaxed" dos_ef_per_ev_fu=10.1 magmom_total_mub_per_fu=0.0 relative_energy_ev_per_atom=0.2018 mass_density_kg_m3=6969 pbc="T T T"
Sm 7.343 4.651 5.904
Sm 8.466 2.749 8.833
Sm 3.991 3.833 11.254
Sm 6.154 7.349 8.087
Sm 2.868 5.735 8.325
Sm 5.181 1.135 9.071
Pr 9.504 5.827 8.380
Pr 4.622 6.309 5.128
Pr 4.463 7.477 10.894
Pr 1.830 2.657 8.778
Pr 6.712 2.175 12.030
Pr 6.872 1.007 6.264
Er 7.415 5.550 11.224
Er 3.920 2.934 5.934



[8]
5
Lattice="5.293 0.000 0.000 0.000 5.293 0.000 0.000 0.000 5.293" Properties=species:S:1:pos:R:3 comment="Ti3SbCl | the Alexandria database | PBE | relaxed" e_form_raw_ev_per_atom=0.7714 dos_ef_per_ev_fu=8.2 magmom_total_mub_per_fu=7.8 relative_energy_ev_per_atom=0.8855 mass_density_kg_m3=3369 pbc="T T T"
Cl 2.646 2.646 2.646
Ti 0.000 2.646 0.000
Ti 2.646 0.000 0.000
Ti 0.000 0.000 2.646
Sb 0.000 0.000 0.000



[9]
7
Lattice="-1.699 -1.082 -3.913 -0.448 -2.728 3.424 -6.933 3.649 2.001" Properties=species:S:1:pos:R:3 comment="In4C3 | the Alexandria database | PBE | relaxed" dft_energy_ev_per_cell=-24.38 dos_ef_per_ev_fu=4.6 magmom_total_mub_per_fu=0.0 mass_density_kg_m3=6065 pbc="T T T"
C -0.224 -1.364 1.712
C -1.073 -1.905 -0.244
C -0.850 -0.541 -1.956
In -5.584 2.939 1.612
In -4.748 0.194 -0.466
In -4.331 -0.355 1.979
In -1.349 0.710 0.389



[10]
16
Lattice="6.578 0.000 0.000 3.289 6.970 0.000 3.289 0.000 12.657" Properties=species:S:1:pos:R:3 comment="Rb2NaMoSe4 | the Alexandria database | PBE | relaxed" e_form_raw_ev_per_atom=-0.7983 dos_ef_per_ev_fu=3.6 magmom_total_mub_per_fu=1.0 mass_density_kg_m3=3466 pbc="T T T"
Se 10.193 4.908 7.729
Se 5.260 5.548 1.400
Se 6.251 2.062 7.729
Se 3.616 2.062 4.928
Se 11.184 5.548 11.257
Se 4.606 1.423 1.400
Se 6.251 4.908 4.928
Se 5.260 1.423 11.257
Rb 8.222 3.485 1.720
Rb 3.289 0.000 8.048
Rb 8.222 3.485 10.937
Rb 6.578 0.000 4.609
Mo 4.933 3.485 6.329
Mo 3.289 0.000 0.000
Na 0.000 0.000 0.000
Na 8.222 3.485 6.329



[11]
7
Lattice="-0.526 -0.870 5.043 -4.568 -1.402 1.905 0.292 -8.856 1.127" Properties=species:S:1:pos:R:3 comment="Tm4Tl2Ga | the Alexandria database | PBE | relaxed" dos_ef_per_ev_fu=7.4 magmom_total_mub_per_fu=0.0 relative_energy_ev_per_atom=0.0000 mass_density_kg_m3=9928 pbc="T T T"
Tl -1.165 -2.929 1.997
Tl -3.638 -8.199 6.078
Tm -4.365 -5.241 6.512
Tm -0.437 -5.887 1.563
Tm -3.152 -2.507 4.486
Tm -1.650 -8.621 3.589
Ga 0.000 0.000 0.000



[12]
3
Lattice="-2.065 0.464 -2.851 1.907 -2.976 0.345 -4.798 -2.723 3.032" Properties=species:S:1:pos:R:3 comment="YInRu | the Alexandria database | PBE | relaxed" dft_energy_ev_per_cell=-18.47 dos_ef_per_ev_fu=2.9 magmom_total_mub_per_fu=0.1 mass_density_kg_m3=7362 pbc="T T T"
Ru -2.320 -1.578 -0.788
In -0.205 -0.116 0.129
Y -2.432 -3.540 1.185